A geometry-optimized RbTlPt2 structure, computed with PBE.

uncorrected energy = -4.03 eV per atom
E_form = -0.1800 eV per atom
ρ = 9.070 Mg/m³
energy above the lowest structure with this stoichiometry = 0 meV/atom
size of the total moment = 0.0 Bohr magnetons per cell

Cell lengths 4.4333, 14.7055, 7.6388 Å; angles 90.00, 90.00, 90.00 degrees
Space group Cmcm (No. 63)
Symmetry-distinct sites (fractional):
Rb (0.0000, 0.0816, 0.2500) [4 per cell]
Tl (0.0000, 0.3630, 0.2500) [4 per cell]
Pt (0.0000, 0.2497, 0.5832) [8 per cell]

A geometry-optimized NiRuPt2 structure, computed with PBE.

uncorrected energy = -6.80 eV per atom
E_form = -0.0176 eV per atom
ρ = 16.192 Mg/m³
energy above the lowest structure with this stoichiometry = 2 meV/atom
size of the total moment = 0.7 Bohr magnetons per cell

Cell lengths 2.7428, 2.7428, 7.4966 Å; angles 90.00, 90.00, 90.00 degrees
Space group P4/mmm (No. 123)
Symmetry-distinct sites (fractional):
Ni (0.0000, 0.0000, 0.0000) [1 per cell]
Ru (0.0000, 0.0000, 0.5000) [1 per cell]
Pt (0.5000, 0.5000, 0.2434) [2 per cell]

A geometry-optimized Li2MoRu structure, computed with PBE.

uncorrected energy = -5.64 eV per atom
E_form = 0.3408 eV per atom
ρ = 5.982 Mg/m³
energy above the lowest structure with this stoichiometry = 138 meV/atom
size of the total moment = 0.9 Bohr magnetons per cell

Cell lengths 2.6535, 2.6535, 28.8036 Å; angles 90.00, 90.00, 120.00 degrees
Space group R-3m (No. 166, hexagonal axes)
Symmetry-distinct sites (fractional):
Li (0.0000, 0.0000, 0.2454) [6 per cell]
Mo (0.0000, 0.0000, 0.0000) [3 per cell]
Ru (0.0000, 0.0000, 0.5000) [3 per cell]

A geometry-optimized ScCr2Mo structure, computed with PBE.

uncorrected energy = -8.85 eV per atom
E_form = 0.2558 eV per atom
ρ = 6.705 Mg/m³
energy above the lowest structure with this stoichiometry = 64 meV/atom
size of the total moment = 2.6 Bohr magnetons per cell

Cell lengths 4.4146, 4.4146, 3.1118 Å; angles 90.00, 90.00, 90.00 degrees
Space group P4/mmm (No. 123)
Symmetry-distinct sites (fractional):
Sc (0.0000, 0.0000, 0.0000) [1 per cell]
Cr (0.0000, 0.5000, 0.5000) [2 per cell]
Mo (0.5000, 0.5000, 0.0000) [1 per cell]

A geometry-optimized KPr2PuSe4 structure, computed with PBE.

uncorrected energy = -6.53 eV per atom
formation energy from raw total energies = -1.6633 eV/atom
ρ = 6.439 Mg/m³
size of the total moment = 5.9 Bohr magnetons per cell

Cell lengths 7.4971, 4.2741, 7.4978 Å; angles 90.00, 109.02, 90.00 degrees
Space group P2/m (No. 10)
Symmetry-distinct sites (fractional):
K (0.0000, 0.0000, 0.0000) [1 per cell]
Pr (0.5000, 0.0000, 0.5000) [1 per cell]
Pr (0.5000, 0.5000, 0.0000) [1 per cell]
Pu (0.0000, 0.5000, 0.5000) [1 per cell]
Se (0.2490, 0.0000, 0.7405) [2 per cell]
Se (0.2613, 0.5000, 0.2637) [2 per cell]

A geometry-optimized SmHCl3 structure, computed with PBE.

uncorrected energy = -4.53 eV per atom
ρ = 2.627 Mg/m³
size of the total moment = 0.0 Bohr magnetons per cell

Cell lengths 7.2544, 7.3717, 12.8198 Å; angles 90.00, 108.12, 90.00 degrees
Space group P2/c (No. 13)
Symmetry-distinct sites (fractional):
Sm (0.0004, 0.2500, 0.0836) [4 per cell]
H (0.0547, 0.2383, 0.7593) [4 per cell]
Cl (0.2444, 0.4874, 0.5530) [4 per cell]
Cl (0.2446, 0.0105, 0.0347) [4 per cell]
Cl (0.2451, 0.2502, 0.2934) [4 per cell]